(1)
VASP calculation (PBE-GGA) on a geometry-optimized Pm2Pr5Y6 structure.

Structure (extended XYZ):
```
26
Lattice="3.640 0.000 0.000 0.000 11.848 0.000 0.000 0.000 20.832" Properties=species:S:1:pos:R:3 pbc="T T T"
Pr 1.820 5.924 0.000
Pr 1.820 2.378 19.796
Pr 1.820 3.547 9.380
Pr 1.820 0.000 10.416
Pr 1.820 1.007 4.686
Pr 1.820 4.917 15.102
Pr 1.820 10.841 16.146
Pr 1.820 6.931 5.730
Pr 1.820 8.302 11.452
Pr 1.820 9.471 1.036
Pm 0.000 7.948 14.862
Pm 0.000 3.901 5.970
Pm 0.000 9.825 4.446
Pm 0.000 2.024 16.386
Y 0.000 0.715 1.655
Y 1.820 3.812 2.786
Y 1.820 9.736 7.630
Y 0.000 6.865 2.762
Y 0.000 6.639 8.761
Y 0.000 10.907 13.178
Y 0.000 11.133 19.177
Y 1.820 2.112 13.202
Y 0.000 4.983 18.071
Y 1.820 8.036 18.046
Y 0.000 0.941 7.654
Y 0.000 5.209 12.071
```

Density = 5.648 g/cm³
Energy relative to the elements = 0.09 eV per atom
DOS at the Fermi energy = 17.1 states/eV/f.u.

(2)
VASP calculation (PBE-GGA) on a geometry-optimized K6AgO structure.

Structure (extended XYZ):
```
16
Lattice="-1.711 -8.260 -1.425 3.306 2.546 6.955 -13.604 2.770 0.279" Properties=species:S:1:pos:R:3 pbc="T T T"
O -5.149 2.658 3.617
O 0.797 -2.857 2.765
K 1.106 -0.775 4.482
K -1.826 -2.256 2.498
K -5.199 3.555 6.054
K -12.253 1.452 1.028
K -10.184 -0.689 3.312
K 0.243 -4.397 4.782
K -2.521 2.079 3.888
K -5.784 0.186 4.549
K -6.226 -3.131 1.261
K -13.116 -2.169 1.328
K -6.811 -6.499 -0.245
K -9.488 -5.024 1.921
Ag -11.540 -4.378 -0.904
Ag -3.775 -1.113 -0.242
```

Density = 1.569 g/cm³
Total DFT energy (no corrections) = -2.160 eV per atom
DOS at the Fermi energy = 3.2 states/eV/f.u.

(3)
VASP calculation (PBE-GGA) on a geometry-optimized HgPbSO6 structure.

Structure (extended XYZ):
```
9
Lattice="5.249 0.000 0.000 2.625 4.546 0.000 0.000 0.000 4.877" Properties=species:S:1:pos:R:3 pbc="T T T"
O 3.350 2.691 1.425
O 1.899 2.691 3.452
O 1.244 1.556 1.425
O 1.969 0.299 3.452
O 4.005 1.556 3.452
O 3.280 0.300 1.425
Pb 5.249 3.031 2.439
S 2.624 1.515 2.439
Hg 7.873 4.546 4.877
```

Density = 7.646 g/cm³
Total DFT energy (no corrections) = -4.737 eV per atom
DOS at the Fermi energy = 5.4 states/eV/f.u.

(4)
VASP calculation (PBE-GGA) on a geometry-optimized Pm2HoGa4 structure.

Structure (extended XYZ):
```
7
Lattice="-3.287 2.166 -1.401 -2.054 -3.679 -0.868 -0.975 0.769 9.708" Properties=species:S:1:pos:R:3 pbc="T T T"
Pm -4.973 -0.749 4.280
Pm -1.343 0.004 3.159
Ga -3.703 -0.753 1.293
Ga -4.814 1.094 6.756
Ga -1.502 -1.838 0.683
Ga -2.613 0.009 6.147
Ho -1.644 1.083 -0.700
```

Density = 7.276 g/cm³
Energy relative to the elements = -0.61 eV per atom
DOS at the Fermi energy = 5.7 states/eV/f.u.

(5)
VASP calculation (PBE-GGA) on a geometry-optimized BaNa4Tl4 structure.

Structure (extended XYZ):
```
18
Lattice="-1.906 3.449 6.106 -6.644 1.137 -2.716 -3.471 -9.734 4.415" Properties=species:S:1:pos:R:3 pbc="T T T"
Na -2.751 1.197 2.790
Na -6.947 -7.590 4.095
Na -3.404 -3.142 7.012
Na -3.259 -3.771 1.113
Na -2.534 -4.718 4.222
Na -7.982 -5.717 7.411
Na -6.294 -3.251 -0.128
Na -6.359 1.815 1.315
Tl -5.127 -5.675 5.930
Tl -5.556 1.180 4.364
Tl -8.876 -5.034 4.397
Tl -2.359 -0.305 5.644
Tl -4.354 -6.632 2.387
Tl -7.249 -6.137 1.204
Tl -4.481 -0.766 0.919
Tl -1.529 -1.808 2.984
Ba -6.010 -2.574 3.902
Ba 0.000 0.000 0.000
```

Density = 5.859 g/cm³
Energy relative to the elements = -0.08 eV per atom
DOS at the Fermi energy = 6.6 states/eV/f.u.

(6)
VASP calculation (PBE-GGA) on a geometry-optimized InSn2Se structure.

Structure (extended XYZ):
```
8
Lattice="-5.211 -1.403 3.522 -0.099 -5.934 -2.510 1.432 -5.916 5.659" Properties=species:S:1:pos:R:3 pbc="T T T"
Sn -3.572 -10.822 5.144
Sn -0.386 -5.371 0.307
Sn -0.918 -7.223 4.609
Sn -2.881 -3.089 3.281
Se -2.655 -3.668 0.506
Se -0.661 -7.759 1.828
In 0.000 0.000 0.000
In -3.217 -5.493 4.843
```

Offset from the most stable computed form = 0.061 eV/atom
Density = 4.962 g/cm³
DOS at the Fermi energy = 2.5 states/eV/f.u.

(7)
VASP calculation (PBE-GGA) on a geometry-optimized ZnSb2IBr structure.

Structure (extended XYZ):
```
5
Lattice="5.362 0.000 0.000 0.000 5.362 0.000 0.000 0.000 5.464" Properties=species:S:1:pos:R:3 pbc="T T T"
Br 2.681 2.681 2.732
Sb 2.681 0.000 0.000
Sb 0.000 2.681 0.000
Zn 0.000 0.000 0.000
I 0.000 0.000 2.732
```

Offset from the most stable computed form = 0.000 eV/atom
Density = 5.452 g/cm³
DOS at the Fermi energy = 3.8 states/eV/f.u.

(8)
VASP calculation (PBE-GGA) on a geometry-optimized PmPrEr2 structure.

Structure (extended XYZ):
```
4
Lattice="3.609 0.000 0.000 0.000 3.609 0.000 0.000 0.000 10.081" Properties=species:S:1:pos:R:3 pbc="T T T"
Pm 1.805 1.805 0.000
Pr 1.805 1.805 5.040
Er 0.000 0.000 2.498
Er 0.000 0.000 7.583
```

Offset from the most stable computed form = 0.019 eV/atom
Density = 7.846 g/cm³
Energy relative to the elements = 0.02 eV per atom
DOS at the Fermi energy = 5.9 states/eV/f.u.

(9)
VASP calculation (PBE-GGA) on a geometry-optimized Ac3Al2Cu4Si2 structure.

Structure (extended XYZ):
```
11
Lattice="4.245 0.000 0.000 -2.123 3.677 0.000 0.000 0.000 16.094" Properties=species:S:1:pos:R:3 pbc="T T T"
Cu 0.000 2.451 13.849
Cu 2.123 1.226 9.577
Cu 2.123 1.226 2.245
Cu 0.000 2.451 6.517
Si 0.000 2.451 2.236
Si 2.123 1.226 13.858
Ac 0.000 0.000 0.000
Ac 0.000 0.000 4.476
Ac 0.000 0.000 11.618
Al 0.000 2.451 8.954
Al 2.123 1.226 7.140
```

Density = 6.910 g/cm³
Total DFT energy (no corrections) = -4.611 eV per atom
DOS at the Fermi energy = 7.9 states/eV/f.u.

(10)
VASP calculation (PBE-GGA) on a geometry-optimized CoB3S structure.

Structure (extended XYZ):
```
5
Lattice="3.833 0.000 0.000 0.000 3.833 0.000 0.000 0.000 3.833" Properties=species:S:1:pos:R:3 pbc="T T T"
S 1.917 1.917 1.917
B 1.917 0.000 0.000
B 0.000 1.917 0.000
B 0.000 0.000 1.917
Co 0.000 0.000 0.000
```

Offset from the most stable computed form = 0.000 eV/atom
Density = 3.639 g/cm³
DOS at the Fermi energy = 2.6 states/eV/f.u.

(11)
VASP calculation (PBE-GGA) on a geometry-optimized Ce2ZnSi3Ni12 structure.

Structure (extended XYZ):
```
18
Lattice="-0.560 3.762 4.985 -2.891 -4.147 3.710 5.138 -1.996 2.989" Properties=species:S:1:pos:R:3 pbc="T T T"
Ni 2.824 0.165 7.586
Ni -1.227 -0.920 7.949
Ni -1.663 -0.420 5.641
Ni 2.913 -1.461 3.735
Ni 2.563 0.713 5.262
Ni -1.137 -2.546 4.099
Ni 0.350 1.069 7.094
Ni 0.039 1.444 4.742
Ni -0.877 -3.094 6.423
Ni 1.648 -3.825 6.942
Ni 1.336 -3.451 4.590
Ni 3.350 -1.962 6.044
Si -0.280 1.881 2.493
Si 2.569 -0.998 1.495
Si -1.445 -2.073 1.855
Zn 0.000 0.000 0.000
Ce 0.594 -0.839 4.118
Ce 1.092 -1.542 7.566
```

Density = 7.783 g/cm³
Total DFT energy (no corrections) = -5.700 eV per atom
DOS at the Fermi energy = 10.4 states/eV/f.u.

(12)
VASP calculation (PBE-GGA) on a geometry-optimized Cs2BiTe2 structure.

Structure (extended XYZ):
```
10
Lattice="9.172 0.000 0.000 0.000 7.848 0.000 -4.586 -3.924 7.779" Properties=species:S:1:pos:R:3 pbc="T T T"
Cs 0.000 -2.604 5.558
Cs 4.586 6.528 2.221
Cs 4.586 2.604 5.558
Cs 0.000 1.320 2.221
Te 0.000 5.287 1.657
Te 4.586 -1.363 6.123
Te 0.000 1.363 6.123
Te 4.586 2.561 1.657
Bi 2.293 3.924 0.000
Bi 6.879 3.924 0.000
```

Offset from the most stable computed form = 0.000 eV/atom
Density = 4.330 g/cm³
DOS at the Fermi energy = 4.4 states/eV/f.u.

(13)
VASP calculation (PBE-GGA) on a geometry-optimized BaNaZnCd2 structure.

Structure (extended XYZ):
```
5
Lattice="-0.070 5.080 1.340 -3.151 1.032 -4.077 -4.406 -0.899 3.178" Properties=species:S:1:pos:R:3 pbc="T T T"
Ba -3.813 2.607 0.221
Cd -0.035 2.540 0.670
Cd -1.575 0.516 -2.038
Zn 0.000 0.000 0.000
Na -2.203 -0.449 1.589
```

Density = 4.921 g/cm³
Energy relative to the elements = -0.06 eV per atom
DOS at the Fermi energy = 3.3 states/eV/f.u.

(14)
VASP calculation (PBE-GGA) on a geometry-optimized CsZn2O2 structure.

Structure (extended XYZ):
```
10
Lattice="-6.017 -1.369 -0.611 2.447 -1.138 5.583 0.589 5.860 -1.023" Properties=species:S:1:pos:R:3 pbc="T T T"
O -0.577 2.560 4.175
O 0.007 3.781 0.810
O -2.404 0.793 -0.226
O -2.988 -0.428 3.139
Cs -3.293 2.486 2.188
Cs 0.312 0.867 1.761
Zn -0.561 4.233 2.830
Zn -4.242 1.992 -0.941
Zn 1.260 1.361 4.890
Zn -2.420 -0.880 1.119
```

Offset from the most stable computed form = 0.000 eV/atom
Density = 5.685 g/cm³
DOS at the Fermi energy = 0.8 states/eV/f.u.

(15)
VASP calculation (PBE-GGA) on a geometry-optimized Hg2Pd2S structure.

Structure (extended XYZ):
```
10
Lattice="-4.719 -2.621 -3.971 1.158 -6.057 2.622 -2.909 0.731 2.974" Properties=species:S:1:pos:R:3 pbc="T T T"
S -1.781 -4.339 -0.674
S 0.000 0.000 0.000
Pd -3.202 -6.198 -1.607
Pd -0.359 -2.480 0.258
Pd -2.928 -2.696 -2.201
Pd -0.633 -5.982 0.852
Hg -2.919 -1.468 0.505
Hg -1.418 -3.984 2.593
Hg -5.052 -3.962 -0.967
Hg -3.551 -6.478 1.120
```

Density = 11.314 g/cm³
Total DFT energy (no corrections) = -3.036 eV per atom
DOS at the Fermi energy = 0.7 states/eV/f.u.

(16)
VASP calculation (PBE-GGA) on a geometry-optimized VAg3Ir structure.

Structure (extended XYZ):
```
5
Lattice="-3.997 1.123 2.811 2.599 -1.114 4.140 1.552 4.758 0.306" Properties=species:S:1:pos:R:3 pbc="T T T"
Ag 0.776 2.379 0.153
Ag 1.300 -0.557 2.070
Ag -1.998 0.562 1.406
Ir 0.000 0.000 0.000
V 0.077 2.383 3.629
```

Offset from the most stable computed form = 0.000 eV/atom
Density = 7.466 g/cm³
Energy relative to the elements = 1.48 eV per atom
DOS at the Fermi energy = 9.5 states/eV/f.u.

(17)
VASP calculation (PBE-GGA) on a geometry-optimized AlTl2Os structure.

Structure (extended XYZ):
```
4
Lattice="3.263 0.000 0.000 0.000 5.062 0.000 0.000 0.000 4.825" Properties=species:S:1:pos:R:3 pbc="T T T"
Tl 1.631 2.531 0.000
Tl 0.000 0.000 0.000
Os 0.000 2.531 2.412
Al 1.631 0.000 2.412
```

Offset from the most stable computed form = 0.566 eV/atom
Density = 13.046 g/cm³
Energy relative to the elements = 0.81 eV per atom
DOS at the Fermi energy = 1.8 states/eV/f.u.

(18)
VASP calculation (PBE-GGA) on a geometry-optimized MnAg2SnBr6 structure.

Structure (extended XYZ):
```
10
Lattice="7.192 0.001 0.000 3.596 6.228 -0.001 3.595 2.076 6.730" Properties=species:S:1:pos:R:3 pbc="T T T"
Sn 10.786 6.228 3.866
Br 9.831 4.055 1.767
Br 5.956 6.486 1.767
Br 5.788 1.915 1.767
Br 8.324 6.055 5.378
Br 8.272 2.220 5.379
Br 4.978 4.182 5.379
Mn 3.596 2.076 0.184
Ag 3.596 2.076 6.692
Ag 7.192 4.152 1.570
```

Density = 4.786 g/cm³
Total DFT energy (no corrections) = -3.456 eV per atom
DOS at the Fermi energy = 0.0 states/eV/f.u.

(19)
VASP calculation (PBE-GGA) on a geometry-optimized Zr2Nb2V15 structure.

Structure (extended XYZ):
```
19
Lattice="6.664 -0.167 -0.149 0.699 6.629 -0.149 0.699 0.613 6.602" Properties=species:S:1:pos:R:3 pbc="T T T"
V 4.843 1.357 4.122
V 0.699 2.462 4.527
V 2.532 0.373 4.527
V 0.699 4.780 1.926
V 0.349 3.314 -0.075
V 3.217 5.718 2.182
V 3.217 2.824 5.429
V 4.830 1.921 -0.149
V 0.349 0.307 3.301
V 1.974 4.626 4.122
V 4.843 4.251 0.875
V 6.087 2.449 2.182
V 4.830 0.072 1.926
V 3.332 -0.084 -0.075
V 2.532 4.540 -0.149
Zr 5.318 4.667 4.159
Zr 2.743 2.407 2.145
Nb 7.226 6.342 5.651
Nb 0.835 0.733 0.653
```

Density = 6.403 g/cm³
Energy relative to the elements = 0.11 eV per atom
DOS at the Fermi energy = 23.8 states/eV/f.u.

(20)
VASP calculation (PBE-GGA) on a geometry-optimized Sc3CdN structure.

Structure (extended XYZ):
```
10
Lattice="-3.909 4.760 0.521 -2.077 -1.080 -5.721 -6.850 -1.552 -0.559" Properties=species:S:1:pos:R:3 pbc="T T T"
Sc -7.491 -1.555 -5.335
Sc -5.927 1.684 -4.845
Sc -3.974 0.978 -2.081
Sc -8.863 1.150 -3.678
Sc -6.452 -1.015 -2.474
Sc -3.972 -0.697 -5.105
Cd -7.863 1.657 -0.797
Cd -5.890 3.391 -1.841
N 0.000 0.000 0.000
N -5.960 -0.396 -4.440
```

Density = 4.110 g/cm³
Total DFT energy (no corrections) = -6.117 eV per atom
DOS at the Fermi energy = 4.6 states/eV/f.u.